1.
## Pb2CBr2O3 (GGA-PBE)

Data for a geometry-optimized Pb2CBr2O3 structure.

The structure in POSCAR format:
```
Pb2CBr2O3
1.0
-4.5863 0.4788 -7.1199
5.0163 -5.8033 -3.6215
-5.5272 -6.7176 3.1086
O Br C Pb
12 8 4 8
direct
0.3730 0.8730 0.8753
0.1270 0.3730 0.8753
0.2143 0.7143 0.0000
0.8730 0.6270 0.1247
0.6270 0.1270 0.8753
0.7143 0.7857 0.0000
0.3730 0.8730 0.1247
0.7857 0.2857 0.0000
0.2857 0.2143 0.0000
0.8730 0.6270 0.8753
0.6270 0.1270 0.1247
0.1270 0.3730 0.1247
0.3499 0.8499 0.5000
0.6501 0.1501 0.5000
0.0000 0.0000 0.2409
0.0000 0.0000 0.7591
0.5000 0.5000 0.2409
0.8499 0.6501 0.5000
0.5000 0.5000 0.7591
0.1501 0.3499 0.5000
0.3244 0.8244 0.0000
0.8244 0.6756 0.0000
0.6756 0.1756 0.0000
0.1756 0.3244 0.0000
0.1646 0.6646 0.2507
0.3354 0.1646 0.7493
0.6646 0.8354 0.7493
0.3354 0.1646 0.2507
0.8354 0.3354 0.7493
0.1646 0.6646 0.7493
0.8354 0.3354 0.2507
0.6646 0.8354 0.2507
```

Values from the calculation:
For the total energy, the calculation gives -5.564 eV per atom. Its spin magnetization is 0.00 Bohr magnetons per cell.

=====

2.
## Pb2C2BrO6 (GGA-PBE)

Data for a geometry-optimized Pb2C2BrO6 structure.

The structure in POSCAR format:
```
Pb2C2BrO6
1.0
-2.8075 4.8443 2.2170
-6.0702 0.6332 2.3199
3.8084 -0.3365 5.5744
O Pb Br C
6 2 1 2
direct
0.9041 0.7149 0.9049
0.9937 0.1548 0.3401
0.7095 0.3096 0.1049
0.2905 0.6904 0.8951
0.0959 0.2851 0.0951
0.0063 0.8452 0.6599
0.8500 0.3583 0.7753
0.1500 0.6417 0.2247
0.5000 0.0000 0.5000
0.0653 0.7478 0.8164
0.9347 0.2522 0.1836
```

Values from the calculation:
For the total energy, the calculation gives -6.360 eV per atom. Its spin magnetization is 0.98 Bohr magnetons per cell.

=====

3.
## Pm6C2Br3O (GGA-PBE)

Data for a geometry-optimized Pm6C2Br3O structure.

The structure in POSCAR format:
```
Pm6C2Br3O
1.0
-0.5546 -6.4769 -0.0418
5.3285 2.8223 -2.4293
1.5722 0.9062 7.4038
Pm Br C O
6 3 2 1
direct
0.7260 0.7260 0.1809
0.3944 0.0601 0.1805
0.6056 0.9399 0.8195
0.2740 0.2740 0.8191
0.9399 0.6056 0.8195
0.0601 0.3944 0.1805
0.1693 0.8307 0.5000
0.8307 0.1693 0.5000
0.5000 0.5000 0.5000
0.6664 0.3336 0.0000
0.3336 0.6664 0.0000
0.0000 0.0000 0.0000
```

Values from the calculation:
For the total energy, the calculation gives -6.028 eV per atom. Its spin magnetization is 0.00 Bohr magnetons per cell.

=====

4.
## PmC2BrO6 (GGA-PBE)

Data for a geometry-optimized PmC2BrO6 structure.

The structure in POSCAR format:
```
PmC2BrO6
1.0
6.6112 0.4347 -0.5181
-0.3780 6.6147 -0.5181
-2.3280 -2.6328 6.8824
O Br C Pm
12 2 4 2
direct
0.7155 0.5347 0.6179
0.3042 0.1384 0.5473
0.4653 0.2845 0.8821
0.6958 0.8616 0.4527
0.3834 0.9106 0.7167
0.1384 0.3042 0.0473
0.5347 0.7155 0.1179
0.0894 0.6166 0.7833
0.6166 0.0894 0.2833
0.2845 0.4653 0.3821
0.8616 0.6958 0.9527
0.9106 0.3834 0.2167
0.0985 0.9015 0.2500
0.9015 0.0985 0.7500
0.0990 0.3833 0.2163
0.6167 0.9010 0.2837
0.9010 0.6167 0.7837
0.3833 0.0990 0.7163
0.5748 0.4252 0.2500
0.4252 0.5748 0.7500
```

Values from the calculation:
For the total energy, the calculation gives -7.179 eV per atom. Its spin magnetization is 0.00 Bohr magnetons per cell.

=====

5.
## Pm8C3Br4O (GGA-PBE)

Data for a geometry-optimized Pm8C3Br4O structure.

The structure in POSCAR format:
```
Pm8C3Br4O
1.0
7.5263 0.0000 0.0000
0.0000 8.4932 0.6870
-3.7632 -3.7680 5.3194
C Pm Br O
3 8 4 1
direct
0.5000 0.5000 0.0000
0.0000 0.5000 0.5000
0.5000 0.5000 0.5000
0.2722 0.3165 0.5443
0.2277 0.6804 0.4554
0.2749 0.3197 0.0473
0.7251 0.6803 0.9527
0.2276 0.6803 0.9527
0.7724 0.3197 0.0473
0.7723 0.3196 0.5446
0.7278 0.6835 0.4557
0.5000 0.0000 0.5000
0.0000 0.0000 0.5000
0.0000 0.0000 0.0000
0.5000 0.0000 0.0000
0.0000 0.5000 0.0000
```

Values from the calculation:
For the total energy, the calculation gives -6.019 eV per atom. Its spin magnetization is 0.00 Bohr magnetons per cell.

=====

6.
## Pr8C3Br3O (GGA-PBE)

Data for a geometry-optimized Pr8C3Br3O structure.

The structure in POSCAR format:
```
Pr8C3Br3O
1.0
-3.7628 0.0596 -6.6457
6.1525 -4.4659 0.8648
-7.1490 -2.4983 4.0253
Pr Br C O
8 3 3 1
direct
0.7683 0.5365 0.3120
0.2755 0.0435 0.3119
0.2317 0.4635 0.6880
0.7245 0.9565 0.6881
0.2703 0.5406 0.3114
0.7680 0.0435 0.3119
0.2320 0.9565 0.6881
0.7297 0.4594 0.6886
0.0000 0.5000 0.0000
0.0000 0.0000 0.0000
0.5000 0.5000 0.0000
0.0000 0.5000 0.5000
0.5000 0.5000 0.5000
0.5000 0.0000 0.5000
0.0000 0.0000 0.5000
```

Values from the calculation:
For the total energy, the calculation gives -6.053 eV per atom. Its spin magnetization is 0.27 Bohr magnetons per cell.

=====

7.
## Pr6C2Br3O (GGA-PBE)

Data for a geometry-optimized Pr6C2Br3O structure.

The structure in POSCAR format:
```
Pr6C2Br3O
1.0
6.6013 -0.0013 -0.0005
-3.3002 5.7172 -0.0005
-1.1014 -1.9071 7.4635
Br Pr O C
3 6 1 2
direct
0.5000 0.5000 0.5000
0.1698 0.8302 0.5000
0.8302 0.1698 0.5000
0.2731 0.2731 0.8177
0.9395 0.6057 0.8184
0.6057 0.9395 0.8184
0.3943 0.0605 0.1816
0.7269 0.7269 0.1823
0.0605 0.3943 0.1816
0.0000 0.0000 0.0000
0.3337 0.6663 0.0000
0.6663 0.3337 0.0000
```

Values from the calculation:
For the total energy, the calculation gives -6.014 eV per atom. Its spin magnetization is 0.00 Bohr magnetons per cell.

=====

8.
## Rb2CBr6O (GGA-PBE)

Data for a geometry-optimized Rb2CBr6O structure.

The structure in POSCAR format:
```
Rb2CBr6O
1.0
6.5528 0.0000 0.0000
0.0000 6.5528 0.0000
3.2764 3.2764 6.5353
Rb O Br C
2 1 6 1
direct
0.2500 0.7500 0.5000
0.7500 0.2500 0.5000
0.0000 0.0000 0.0000
0.2497 0.7503 0.0000
0.6965 0.6965 0.6070
0.7503 0.2497 0.0000
0.7503 0.7503 0.0000
0.3035 0.3035 0.3930
0.2497 0.2497 0.0000
0.5000 0.5000 0.0000
```

Values from the calculation:
For the total energy, the calculation gives -2.687 eV per atom. Its spin magnetization is 0.00 Bohr magnetons per cell.

=====

9.
## ReCBr2O (GGA-PBE)

Data for a geometry-optimized ReCBr2O structure.

The structure in POSCAR format:
```
ReCBr2O
1.0
5.6306 0.0000 0.0000
0.0000 3.6599 0.0000
0.0000 0.0000 5.6306
Br O Re C
2 1 1 1
direct
0.5000 0.0000 0.0000
0.0000 0.0000 0.5000
0.0000 0.0000 0.0000
0.0000 0.5000 0.0000
0.5000 0.5000 0.5000
```

Values from the calculation:
For the total energy, the calculation gives -4.180 eV per atom. Its spin magnetization is 1.33 Bohr magnetons per cell.

=====

10.
## Sm8C3Br4O (GGA-PBE)

Data for a geometry-optimized Sm8C3Br4O structure.

The structure in POSCAR format:
```
Sm8C3Br4O
1.0
7.4886 0.0000 0.0000
0.0000 8.4373 0.6747
-3.7443 -3.7490 5.2926
Sm Br C O
8 4 3 1
direct
0.7724 0.3203 0.0478
0.2724 0.3172 0.5448
0.7245 0.6797 0.9522
0.2277 0.6798 0.4554
0.7723 0.3202 0.5446
0.2755 0.3203 0.0478
0.7276 0.6828 0.4552
0.2276 0.6797 0.9522
0.0000 0.0000 0.0000
0.0000 0.0000 0.5000
0.5000 0.0000 0.0000
0.5000 0.0000 0.5000
0.0000 0.5000 0.5000
0.5000 0.5000 0.0000
0.5000 0.5000 0.5000
0.0000 0.5000 0.0000
```

Values from the calculation:
For the total energy, the calculation gives -6.002 eV per atom. Its spin magnetization is 0.00 Bohr magnetons per cell.

=====

11.
## Sr2C2BrO6 (GGA-PBE)

Data for a geometry-optimized Sr2C2BrO6 structure.

The structure in POSCAR format:
```
Sr2C2BrO6
1.0
6.1037 0.6021 0.3013
3.6296 5.3937 0.3897
0.0074 -2.5959 6.0793
O Br C Sr
6 1 2 2
direct
0.9385 0.6872 0.8747
0.3113 0.6737 0.8655
0.0615 0.3128 0.1253
0.0254 0.8372 0.6390
0.9746 0.1628 0.3610
0.6887 0.3263 0.1345
0.5000 0.0000 0.5000
0.0906 0.7290 0.7924
0.9094 0.2710 0.2076
0.8503 0.3552 0.7756
0.1497 0.6448 0.2244
```

Values from the calculation:
For the total energy, the calculation gives -6.787 eV per atom. Its spin magnetization is 1.04 Bohr magnetons per cell.

=====

12.
## TaCBr2O (GGA-PBE)

Data for a geometry-optimized TaCBr2O structure.

The structure in POSCAR format:
```
TaCBr2O
1.0
5.5167 0.0000 0.0000
0.0000 3.7380 0.0000
0.0000 0.0000 5.5167
O Ta Br C
1 1 2 1
direct
0.0000 0.0000 0.0000
0.0000 0.5000 0.0000
0.5000 0.0000 0.0000
0.0000 0.0000 0.5000
0.5000 0.5000 0.5000
```

Values from the calculation:
For the total energy, the calculation gives -4.635 eV per atom. Its spin magnetization is 2.01 Bohr magnetons per cell.

=====

What is the total energy in the third record? -6.028 eV per atom